[1]
DFT (PBE-GGA) results for a relaxed NdErTm2 crystal.

The structure belongs to space group P4/mmm (No. 123); the cell edges are 5.011, 5.011 and 4.997 Å and the angles 90.00°, 90.00° and 90.00°. The inequivalent atoms are Nd at (0.000, 0.000, 0.000), Er at (0.500, 0.500, 0.000) and Tm at (0.000, 0.500, 0.500).

The calculation puts the offset from the most stable computed form at 19.7 meV per atom. For the energy of formation, the calculation gives 27 meV/atom. The total magnetic moment comes out at 0.000 μB per atom.



[2]
DFT (PBE-GGA) results for a relaxed NdErTm2 crystal.

The structure belongs to space group Imm2 (No. 44); the cell edges are 3.623, 11.270 and 6.235 Å and the angles 90.00°, 90.00° and 90.00°. The inequivalent atoms are Nd at (0.000, 0.000, 0.000), Er at (0.000, 0.500, 0.004) and Tm at (0.000, 0.248, 0.338).

The calculation puts the offset from the most stable computed form at 7.6 meV per atom. For the energy of formation, the calculation gives 15 meV/atom. The total magnetic moment comes out at 0.000 μB per atom.



[3]
DFT (PBE-GGA) results for a relaxed Nd2ErTm crystal.

The structure belongs to space group R3m (No. 160, hexagonal axes); the cell edges are 3.6077, 3.6077 and 34.8478 Å and the angles 90.00°, 90.00° and 120.00°. The inequivalent atoms are Nd at (0.0000, 0.0000, 0.0000), Nd at (0.0000, 0.0000, 0.1655), Er at (0.0000, 0.0000, 0.5834) and Tm at (0.0000, 0.0000, 0.4160).

The calculation puts the offset from the most stable computed form at 7.2 meV per atom. For the energy of formation, the calculation gives 23 meV/atom. The total magnetic moment comes out at 0.000 μB per atom.



[4]
DFT (PBE-GGA) results for a relaxed Nd2ErTm3 crystal.

The structure belongs to space group C2/m (No. 12); the cell edges are 17.711, 3.486 and 14.148 Å and the angles 90.00°, 117.29° and 90.00°. The inequivalent atoms are Nd at (0.155, 0.000, 0.468), Nd at (0.180, 0.500, 0.880), Er at (0.063, 0.000, 0.642), Tm at (0.039, 0.500, 0.208), Tm at (0.098, 0.000, 0.026) and Tm at (0.237, 0.000, 0.292).

For the energy of formation, the calculation gives 124 meV/atom. The total magnetic moment comes out at 0.000 μB per atom.



[5]
DFT (PBE-GGA) results for a relaxed Nd16Er7Tm6 crystal.

The structure belongs to space group Fm-3m (No. 225); the cell edges are 15.936, 15.936 and 15.936 Å and the angles 90.00°, 90.00° and 90.00°. The inequivalent atoms are Nd at (0.125, 0.125, 0.125), Nd at (0.148, 0.148, 0.352), Er at (0.000, 0.000, 0.000), Er at (0.000, 0.250, 0.250) and Tm at (0.000, 0.000, 0.263).

For the energy of formation, the calculation gives 206 meV/atom. The total magnetic moment comes out at 0.000 μB per atom.



[6]
DFT (PBE-GGA) results for a relaxed NdErTm crystal.

The structure belongs to space group I4mm (No. 107); the cell edges are 3.561, 3.561 and 15.109 Å and the angles 90.00°, 90.00° and 90.00°. The inequivalent atoms are Nd at (0.000, 0.000, 0.000), Er at (0.000, 0.000, 0.331) and Tm at (0.000, 0.000, 0.669).

The calculation puts the offset from the most stable computed form at 14.2 meV per atom. For the energy of formation, the calculation gives 27 meV/atom. The total magnetic moment comes out at 0.000 μB per atom.



[7]
DFT (PBE-GGA) results for a relaxed NdEr7Tm12 crystal.

The structure belongs to space group R-3 (No. 148, hexagonal axes); the cell edges are 11.8719, 11.8719 and 15.5971 Å and the angles 90.00°, 90.00° and 120.00°. The inequivalent atoms are Nd at (0.0000, 0.0000, 0.0000), Er at (0.0000, 0.0000, 0.5000), Er at (0.0480, 0.4621, 0.5841), Tm at (0.0213, 0.5709, 0.2158) and Tm at (0.0506, 0.8614, 0.2960).

The calculation puts the offset from the most stable computed form at 0.0 meV per atom. For the energy of formation, the calculation gives 245 meV/atom. The total magnetic moment comes out at 0.000 μB per atom.



[8]
DFT (PBE-GGA) results for a relaxed NdEr7Tm3 crystal.

The structure belongs to space group C2/m (No. 12); the cell edges are 12.447, 11.089 and 5.723 Å and the angles 90.00°, 117.31° and 90.00°. The inequivalent atoms are Nd at (0.000, 0.000, 0.000), Er at (0.000, 0.000, 0.500), Er at (0.206, 0.305, 0.206), Er at (0.207, 0.500, 0.706), Tm at (0.000, 0.295, 0.500) and Tm at (0.000, 0.500, 0.000).

The calculation puts the offset from the most stable computed form at 115.4 meV per atom. For the energy of formation, the calculation gives 269 meV/atom. The total magnetic moment comes out at 0.000 μB per atom.



[9]
DFT (PBE-GGA) results for a relaxed NdEr15Tm4 crystal.

The structure belongs to space group P4/mmm (No. 123); the cell edges are 4.963, 4.963 and 24.818 Å and the angles 90.00°, 90.00° and 90.00°. The inequivalent atoms are Nd at (0.000, 0.000, 0.000), Er at (0.000, 0.500, 0.102), Er at (0.000, 0.500, 0.301), Er at (0.000, 0.500, 0.500), Er at (0.500, 0.500, 0.000), Er at (0.500, 0.500, 0.202), Er at (0.500, 0.500, 0.401), Tm at (0.000, 0.000, 0.202) and Tm at (0.000, 0.000, 0.401).

For the energy of formation, the calculation gives 24 meV/atom. The total magnetic moment comes out at 0.000 μB per atom.



[10]
DFT (PBE-GGA) results for a relaxed Nd8ErTm6 crystal.

The structure belongs to space group R-3 (No. 148, hexagonal axes); the cell edges are 9.6377, 9.6377 and 18.4895 Å and the angles 90.00°, 90.00° and 120.00°. The inequivalent atoms are Nd at (0.0000, 0.0000, 0.0803), Nd at (0.0554, 0.8127, 0.6698), Er at (0.0000, 0.0000, 0.5000) and Tm at (0.0392, 0.7639, 0.1805).

The calculation puts the offset from the most stable computed form at 2.1 meV per atom. For the energy of formation, the calculation gives 178 meV/atom. The total magnetic moment comes out at 0.000 μB per atom.



[11]
DFT (PBE-GGA) results for a relaxed Nd2Er3Tm9 crystal.

The structure belongs to space group Immm (No. 71); the cell edges are 3.545, 14.859 and 16.694 Å and the angles 90.00°, 90.00° and 90.00°. The inequivalent atoms are Nd at (0.000, 0.230, 0.000), Er at (0.000, 0.000, 0.198), Er at (0.000, 0.000, 0.500), Tm at (0.000, 0.304, 0.327), Tm at (0.000, 0.391, 0.147) and Tm at (0.000, 0.500, 0.500).

For the energy of formation, the calculation gives 73 meV/atom. The total magnetic moment comes out at 0.000 μB per atom.



[12]
DFT (PBE-GGA) results for a relaxed Nd8Er3Tm2 crystal.

The structure belongs to space group P2/m (No. 10); the cell edges are 7.743, 5.726 and 10.838 Å and the angles 90.00°, 110.87° and 90.00°. The inequivalent atoms are Nd at (0.098, 0.000, 0.288), Nd at (0.174, 0.500, 0.848), Nd at (0.311, 0.000, 0.713), Nd at (0.369, 0.500, 0.239), Er at (0.214, 0.500, 0.500), Er at (0.500, 0.000, 0.500) and Tm at (0.261, 0.000, 0.021).

For the energy of formation, the calculation gives 201 meV/atom. The total magnetic moment comes out at 0.000 μB per atom.